First-principles (PBE-GGA) data for crystalline Pr2PbSe at its relaxed geometry, as listed in Alexandria via LeMat-Bulk.

The calculation puts the energy above the most stable polymorph in this dataset at 139 meV/atom. As for the density of states at the Fermi level: 0.891 states/eV per atom. For the raw formation energy, the calculation gives -1070 meV/atom.

It has space group P4/mmm (No. 123), with a = 3.658 Å, b = 3.658 Å, c = 8.351 Å, α = 90.00°, β = 90.00° and γ = 90.00°. Symmetry generates all atoms from Pr at (0.000, 0.000, 0.226), Pb at (0.500, 0.500, 0.500) and Se at (0.500, 0.500, 0.000).